*a*
LiReIr | PBE | relaxed

Calculated values
The density of states at the Fermi level comes out at 1.46 states/eV per atom. As for the calculated density: 13.177 g cm⁻³.

Cell lengths 4.0952, 4.0952, 4.0952 Å; angles 60.00, 60.00, 60.00 degrees
Atoms (fractional coordinates):
Li 0.0000 0.0000 0.0000
Re 0.5000 0.5000 0.5000
Ir 0.7500 0.7500 0.7500

*b*
LiReIr | PBE | relaxed

Calculated values
The density of states at the Fermi level comes out at 0.48 states/eV per atom. As for the calculated density: 15.586 g cm⁻³.

Cell lengths 4.5438, 4.5438, 4.5438 Å; angles 145.15, 129.24, 63.05 degrees
Atoms (fractional coordinates):
Li 0.0000 0.0000 0.0000
Re 0.6752 0.6752 0.0000
Ir 0.3299 0.3299 0.0000

Of them, *b* has the highest stability.

*a*
Li6IrRh | PBE | relaxed

Calculated values
The density of states at the Fermi level comes out at 0.44 states/eV per atom. As for the calculated density: 4.681 g cm⁻³.

Cell lengths 4.9371, 4.9371, 4.9371 Å; angles 85.90, 85.90, 85.90 degrees
Atoms (fractional coordinates):
Li 0.1555 0.1555 0.5305
Li 0.1555 0.5305 0.1555
Li 0.4695 0.8445 0.8445
Li 0.5305 0.1555 0.1555
Li 0.8445 0.4695 0.8445
Li 0.8445 0.8445 0.4695
Ir 0.5000 0.5000 0.5000
Rh 0.0000 0.0000 0.0000

*b*
Li6IrRh | PBE | relaxed

Calculated values
The density of states at the Fermi level comes out at 0.48 states/eV per atom. As for the calculated density: 4.680 g cm⁻³.

Cell lengths 4.9391, 4.9504, 4.9655 Å; angles 90.31, 90.33, 100.20 degrees
Atoms (fractional coordinates):
Li 0.0069 0.1052 0.2540
Li 0.1401 0.6427 0.2495
Li 0.3973 0.4942 0.7460
Li 0.6027 0.5058 0.2540
Li 0.8599 0.3573 0.7505
Li 0.9931 0.8948 0.7460
Ir 0.5000 0.0000 0.5000
Rh 0.5000 0.0000 0.0000

Of them, *b* has the highest stability.

*a*
Li4IrRh | PBE | relaxed

Calculated values
The density of states at the Fermi level comes out at 0.71 states/eV per atom. As for the calculated density: 7.316 g cm⁻³.

Cell lengths 4.6973, 4.6973, 4.6973 Å; angles 60.00, 60.00, 60.00 degrees
Atoms (fractional coordinates):
Li 0.1244 0.1244 0.1244
Li 0.1244 0.1244 0.6269
Li 0.1244 0.6269 0.1244
Li 0.6269 0.1244 0.1244
Ir 0.7500 0.7500 0.7500
Rh 0.5000 0.5000 0.5000

*b*
Li4IrRh | PBE | relaxed

Calculated values
The density of states at the Fermi level comes out at 0.49 states/eV per atom. As for the calculated density: 6.659 g cm⁻³.

Cell lengths 7.9081, 7.9081, 4.3415 Å; angles 90.00, 90.00, 143.63 degrees
Atoms (fractional coordinates):
Li 0.0411 0.4576 0.2500
Li 0.2056 0.2889 0.2500
Li 0.2889 0.2056 0.7500
Li 0.4576 0.0411 0.7500
Li 0.5424 0.9589 0.2500
Li 0.7111 0.7944 0.2500
Li 0.7944 0.7111 0.7500
Li 0.9589 0.5424 0.7500
Ir 0.1252 0.8748 0.2500
Ir 0.8748 0.1252 0.7500
Rh 0.3751 0.6249 0.7500
Rh 0.6249 0.3751 0.2500

Of them, *b* has the highest stability.

*a*
LiIr4Rh | PBE | relaxed

Calculated values
The density of states at the Fermi level comes out at 1.91 states/eV per atom. As for the calculated density: 15.157 g cm⁻³.

Cell lengths 5.1444, 5.1444, 5.1444 Å; angles 60.00, 60.00, 60.00 degrees
Atoms (fractional coordinates):
Li 0.0000 0.0000 0.0000
Ir 0.3749 0.3749 0.3749
Ir 0.3749 0.3749 0.8754
Ir 0.3749 0.8754 0.3749
Ir 0.8754 0.3749 0.3749
Rh 0.7500 0.7500 0.7500

*b*
LiIr4Rh | PBE | relaxed

Calculated values
The density of states at the Fermi level comes out at 0.75 states/eV per atom. As for the calculated density: 16.632 g cm⁻³.

Cell lengths 8.6070, 7.8763, 5.1570 Å; angles 79.68, 64.20, 36.12 degrees
Atoms (fractional coordinates):
Li 0.1250 0.1250 0.1250
Li 0.8750 0.8750 0.8750
Ir 0.0305 0.5225 0.2195
Ir 0.2195 0.7276 0.0305
Ir 0.2724 0.7805 0.4775
Ir 0.4775 0.9695 0.2724
Ir 0.5225 0.0305 0.7276
Ir 0.7276 0.2195 0.5225
Ir 0.7805 0.2724 0.9695
Ir 0.9695 0.4775 0.7805
Rh 0.3750 0.3750 0.3750
Rh 0.6250 0.6250 0.6250

Of them, *b* has the highest stability.

*a*
Li2Ir2Rh | PBE | relaxed

Calculated values
The density of states at the Fermi level comes out at 0.78 states/eV per atom. As for the calculated density: 12.876 g cm⁻³.

Cell lengths 5.1195, 5.1195, 5.1195 Å; angles 135.66, 135.66, 64.51 degrees
Atoms (fractional coordinates):
Li 0.0970 0.0970 0.0000
Li 0.9030 0.9030 0.0000
Ir 0.2500 0.7500 0.5000
Ir 0.7500 0.2500 0.5000
Rh 0.5000 0.5000 0.0000

*b*
Li2Ir2Rh | PBE | relaxed

Calculated values
The density of states at the Fermi level comes out at 1.28 states/eV per atom. As for the calculated density: 13.149 g cm⁻³.

Cell lengths 6.8208, 6.8208, 2.7212 Å; angles 90.00, 90.00, 90.00 degrees
Atoms (fractional coordinates):
Li 0.1066 0.3934 0.0000
Li 0.3934 0.8934 0.0000
Li 0.6066 0.1066 0.0000
Li 0.8934 0.6066 0.0000
Ir 0.1942 0.6942 0.5000
Ir 0.3058 0.1942 0.5000
Ir 0.6942 0.8058 0.5000
Ir 0.8058 0.3058 0.5000
Rh 0.0000 0.0000 0.0000
Rh 0.5000 0.5000 0.0000

Of them, *b* has the highest stability.

*a*
LiThIrRh | PBE | relaxed

Calculated values
The density of states at the Fermi level comes out at 0.56 states/eV per atom. As for the calculated density: 12.483 g cm⁻³.

Cell lengths 3.8681, 4.2797, 4.2920 Å; angles 90.00, 90.00, 90.00 degrees
Atoms (fractional coordinates):
Li 0.0000 0.0000 0.0000
Th 0.0000 0.5000 0.5000
Ir 0.5000 0.5000 0.0000
Rh 0.5000 0.0000 0.5000

*b*
LiThIrRh | PBE | relaxed

Calculated values
The density of states at the Fermi level comes out at 0.47 states/eV per atom. As for the calculated density: 11.989 g cm⁻³.

Cell lengths 4.7119, 4.7119, 4.7119 Å; angles 60.00, 60.00, 60.00 degrees
Atoms (fractional coordinates):
Li 0.0000 0.0000 0.0000
Th 0.5000 0.5000 0.5000
Ir 0.2500 0.2500 0.2500
Rh 0.7500 0.7500 0.7500

Of them, *a* has the highest stability.

*a*
LiIrRu2 | PBE | relaxed

Calculated values
The density of states at the Fermi level comes out at 1.11 states/eV per atom. As for the calculated density: 12.196 g cm⁻³.

Cell lengths 4.6483, 4.6483, 4.6070 Å; angles 97.53, 97.53, 33.65 degrees
Atoms (fractional coordinates):
Li 0.0000 0.0000 0.0000
Ir 0.5000 0.5000 0.5000
Ru 0.2408 0.2408 0.7539
Ru 0.7592 0.7592 0.2461

*b*
LiIrRu2 | PBE | relaxed

Calculated values
The density of states at the Fermi level comes out at 1.50 states/eV per atom. As for the calculated density: 12.225 g cm⁻³.

Cell lengths 4.2559, 4.2559, 4.2559 Å; angles 60.00, 60.00, 60.00 degrees
Atoms (fractional coordinates):
Li 0.0000 0.0000 0.0000
Ir 0.5000 0.5000 0.5000
Ru 0.2500 0.2500 0.2500
Ru 0.7500 0.7500 0.7500

Of them, *a* has the highest stability.

*a*
LiIrRu2 | PBE | relaxed

Calculated values
The density of states at the Fermi level comes out at 0.92 states/eV per atom. As for the calculated density: 12.332 g cm⁻³.

Cell lengths 2.7155, 3.8071, 5.2271 Å; angles 90.00, 90.00, 90.00 degrees
Atoms (fractional coordinates):
Li 0.0000 0.0000 0.0000
Ir 0.5000 0.5000 0.7678
Ru 0.0000 0.0000 0.4993
Ru 0.5000 0.5000 0.2530

*b*
LiIrRu2 | PBE | relaxed

Calculated values
The density of states at the Fermi level comes out at 0.99 states/eV per atom. As for the calculated density: 12.258 g cm⁻³.

Cell lengths 4.2521, 4.2521, 4.2521 Å; angles 60.00, 60.00, 60.00 degrees
Atoms (fractional coordinates):
Li 0.0000 0.0000 0.0000
Ir 0.7500 0.7500 0.7500
Ru 0.2500 0.2500 0.2500
Ru 0.5000 0.5000 0.5000

Of them, *a* has the highest stability.